(1)
A plane-wave DFT calculation with PBE-GGA was carried out for ZrCu2HAu after structural relaxation.

Properties
Total moment   0.0 μB per formula unit
Total energy   -4.771 eV/atom

abc: 4.088 4.088 4.088
angles: 90.00 90.00 90.00
Sites, in units of the cell vectors:
Zr (0.000, 0.000, 0.000)
Cu (0.000, 0.500, 0.500)
Cu (0.500, 0.000, 0.500)
H (0.000, 0.000, 0.500)
Au (0.500, 0.500, 0.000)

(2)
A plane-wave DFT calculation with PBE-GGA was carried out for La8HOs3Cl4 after structural relaxation.

Properties
Total moment   0.0 μB per formula unit
Total energy   -6.211 eV/atom

abc: 9.017 9.017 9.017
angles: 54.02 54.02 54.02
Sites, in units of the cell vectors:
La (0.229, 0.737, 0.737)
La (0.237, 0.237, 0.237)
La (0.263, 0.263, 0.771)
La (0.263, 0.771, 0.263)
La (0.737, 0.229, 0.737)
La (0.737, 0.737, 0.229)
La (0.763, 0.763, 0.763)
La (0.771, 0.263, 0.263)
H (0.500, 0.500, 0.500)
Os (0.000, 0.000, 0.500)
Os (0.000, 0.500, 0.000)
Os (0.500, 0.000, 0.000)
Cl (0.000, 0.000, 0.000)
Cl (0.000, 0.500, 0.500)
Cl (0.500, 0.000, 0.500)
Cl (0.500, 0.500, 0.000)

(3)
A plane-wave DFT calculation with PBE-GGA was carried out for Ta2OsW after structural relaxation.

Properties
Total moment   0.0 μB per formula unit
ΔE to the lowest computed polymorph   164.4 meV/atom
Total energy   -12.106 eV/atom

abc: 3.199 4.486 4.610
angles: 90.00 90.00 90.00
Sites, in units of the cell vectors:
Ta (0.000, 0.000, 0.000)
Ta (0.500, 0.000, 0.500)
Os (0.000, 0.500, 0.500)
W (0.500, 0.500, 0.000)